Entry 1:
VASP calculation (meta-GGA SCAN) on a PBEsol-optimized structure of Cd2SiAu.

Unit cell a=4.730 b=4.730 c=4.730 alpha=60.00 beta=60.00 gamma=60.00
Element x y z (fractional)
Au: 0.500 0.500 0.500
Cd: 0.000 0.000 0.000
Cd: 0.750 0.750 0.750
Si: 0.250 0.250 0.250

Energy relative to the elements, uncorrected = 0.307 eV/atom
N(E_F) = 2.12 states/eV/cell
Magnetization = 0.00 μB per cell
Crystal system = cubic

=====

Entry 2:
VASP calculation (meta-GGA SCAN) on a PBEsol-optimized structure of Cd2SiAu.

Unit cell a=3.212 b=3.212 c=8.649 alpha=79.30 beta=79.30 gamma=60.00
Element x y z (fractional)
Au: 0.241 0.241 0.276
Cd: 0.996 0.996 0.013
Cd: 0.755 0.755 0.735
Si: 0.508 0.508 0.476

Energy relative to the elements, uncorrected = 0.082 eV/atom
N(E_F) = 1.18 states/eV/cell
Magnetization = 0.00 μB per cell
Crystal system = trigonal

=====

Entry 3:
VASP calculation (meta-GGA SCAN) on a PBEsol-optimized structure of SmCdAu2.

Unit cell a=4.897 b=4.897 c=4.897 alpha=60.00 beta=60.00 gamma=60.00
Element x y z (fractional)
Au: 0.750 0.750 0.750
Au: 0.250 0.250 0.250
Sm: 0.000 0.000 0.000
Cd: 0.500 0.500 0.500

N(E_F) = 2.13 states/eV/cell
Formation energy = -310 kJ/mol of formula units
Magnetization = 0.00 μB per cell
Crystal system = cubic

=====

Entry 4:
VASP calculation (meta-GGA SCAN) on a PBEsol-optimized structure of Sm2CdAu2.

Unit cell a=3.766 b=7.903 c=7.903 alpha=90.00 beta=90.00 gamma=90.00
Element x y z (fractional)
Au: 0.000 0.372 0.872
Au: 0.000 0.128 0.372
Au: 0.000 0.872 0.628
Au: 0.000 0.628 0.128
Sm: 0.500 0.671 0.829
Sm: 0.500 0.829 0.329
Sm: 0.500 0.171 0.671
Sm: 0.500 0.329 0.171
Cd: 0.000 0.000 0.000
Cd: 0.000 0.500 0.500

N(E_F) = 6.79 states/eV/cell
Formation energy = -450 kJ/mol of formula units
Magnetization = 0.00 μB per cell
Crystal system = tetragonal

=====

Entry 5:
VASP calculation (meta-GGA SCAN) on a PBEsol-optimized structure of Cd2SnAu2.

Unit cell a=3.045 b=8.154 c=8.154 alpha=90.00 beta=90.00 gamma=90.00
Element x y z (fractional)
Au: 0.000 0.334 0.834
Au: 0.000 0.834 0.666
Au: 0.000 0.666 0.166
Au: 0.000 0.166 0.334
Sn: 0.000 0.000 0.000
Sn: 0.000 0.500 0.500
Cd: 0.500 0.132 0.632
Cd: 0.500 0.632 0.868
Cd: 0.500 0.868 0.368
Cd: 0.500 0.368 0.132

N(E_F) = 3.33 states/eV/cell
Formation energy = -68 kJ/mol of formula units
Magnetization = 0.00 μB per cell
Crystal system = tetragonal

=====

Entry 6:
VASP calculation (meta-GGA SCAN) on a PBEsol-optimized structure of Sr2CdAu.

Unit cell a=3.803 b=3.803 c=8.532 alpha=90.00 beta=90.00 gamma=90.00
Element x y z (fractional)
Au: 0.000 0.000 0.542
Cd: 0.500 0.500 0.699
Sr: 0.000 0.000 0.930
Sr: 0.500 0.500 0.330

N(E_F) = 1.96 states/eV/cell
Formation energy = -176 kJ/mol of formula units
Magnetization = 0.01 μB per cell
Crystal system = tetragonal

=====

Entry 7:
VASP calculation (meta-GGA SCAN) on a PBEsol-optimized structure of Sr2CdAu.

Unit cell a=3.913 b=5.402 c=5.401 alpha=90.00 beta=90.00 gamma=90.00
Element x y z (fractional)
Sr: 0.000 0.000 0.125
Sr: 0.000 0.500 0.625
Au: 0.500 0.000 0.625
Cd: 0.500 0.500 0.125

N(E_F) = 2.82 states/eV/cell
Formation energy = -231 kJ/mol of formula units
Magnetization = 0.00 μB per cell
Crystal system = tetragonal

=====

Entry 8:
VASP calculation (meta-GGA SCAN) on a PBEsol-optimized structure of SrCdAu3.

Unit cell a=5.552 b=5.552 c=5.552 alpha=90.00 beta=90.00 gamma=90.00
Element x y z (fractional)
Sr: 0.000 0.000 0.000
Au: 0.000 0.500 0.000
Au: 0.000 0.000 0.500
Au: 0.500 0.000 0.000
Cd: 0.500 0.500 0.500

Offset from the most stable computed form = 0.7868 eV per atom
N(E_F) = 2.21 states/eV/cell
Formation energy = 261 kJ/mol of formula units
Magnetization = 0.00 μB per cell
Crystal system = cubic

=====

Entry 9:
VASP calculation (meta-GGA SCAN) on a PBEsol-optimized structure of Sr2CdAu3.

Unit cell a=4.756 b=5.978 c=6.121 alpha=76.71 beta=67.19 gamma=66.57
Element x y z (fractional)
Sr: 0.547 0.708 0.198
Sr: 0.452 0.299 0.798
Au: 0.841 0.715 0.604
Au: 0.836 0.120 0.209
Au: 0.161 0.888 0.791
Cd: 0.164 0.270 0.401

N(E_F) = 2.34 states/eV/cell
Formation energy = -461 kJ/mol of formula units
Magnetization = 0.00 μB per cell
Crystal system = monoclinic

=====

Entry 10:
VASP calculation (meta-GGA SCAN) on a PBEsol-optimized structure of SrCdAu3.

Unit cell a=5.115 b=5.115 c=5.115 alpha=90.00 beta=90.00 gamma=90.00
Element x y z (fractional)
Sr: 0.500 0.500 0.500
Au: 0.000 0.500 0.000
Au: 0.000 0.000 0.500
Au: 0.500 0.000 0.000
Cd: 0.000 0.000 0.000

Offset from the most stable computed form = 0.0000 eV per atom
N(E_F) = 1.50 states/eV/cell
Formation energy = -118 kJ/mol of formula units
Magnetization = 0.00 μB per cell
Crystal system = cubic

=====

Entry 11:
VASP calculation (meta-GGA SCAN) on a PBEsol-optimized structure of TaCd2Au.

Unit cell a=2.947 b=2.947 c=9.965 alpha=81.50 beta=81.50 gamma=60.00
Element x y z (fractional)
Cd: 0.997 0.997 0.010
Cd: 0.752 0.752 0.744
Au: 0.247 0.247 0.258
Ta: 0.504 0.504 0.488

Offset from the most stable computed form = 0.0022 eV per atom
N(E_F) = 2.52 states/eV/cell
Formation energy = 26 kJ/mol of formula units
Magnetization = 0.00 μB per cell
Crystal system = trigonal

=====

Entry 12:
VASP calculation (meta-GGA SCAN) on a PBEsol-optimized structure of TaCd2Au.

Unit cell a=2.867 b=4.414 c=5.988 alpha=90.00 beta=103.74 gamma=90.00
Element x y z (fractional)
Cd: 0.193 0.000 0.013
Cd: 0.807 0.500 0.238
Au: 0.047 0.500 0.719
Ta: 0.454 0.000 0.531

Offset from the most stable computed form = 0.0000 eV per atom
N(E_F) = 1.44 states/eV/cell
Formation energy = 25 kJ/mol of formula units
Magnetization = 0.00 μB per cell
Crystal system = monoclinic

=====

Entry 13:
VASP calculation (meta-GGA SCAN) on a PBEsol-optimized structure of Ta2CdAu.

Unit cell a=2.830 b=2.830 c=9.065 alpha=90.00 beta=90.00 gamma=101.54
Element x y z (fractional)
Ta: 0.000 0.000 0.991
Ta: 0.500 0.500 0.747
Au: 0.000 0.000 0.508
Cd: 0.500 0.500 0.254

N(E_F) = 2.25 states/eV/cell
Formation energy = -26 kJ/mol of formula units
Magnetization = 0.00 μB per cell
Crystal system = orthorhombic

=====

Entry 14:
VASP calculation (meta-GGA SCAN) on a PBEsol-optimized structure of Ta2CdAu.

Unit cell a=3.914 b=3.999 c=5.271 alpha=112.30 beta=111.80 gamma=90.00
Element x y z (fractional)
Cd: 0.000 0.500 0.000
Au: 0.500 0.000 0.000
Ta: 0.751 0.751 0.502
Ta: 0.249 0.249 0.498

N(E_F) = 3.20 states/eV/cell
Formation energy = 21 kJ/mol of formula units
Magnetization = 0.00 μB per cell
Crystal system = orthorhombic

=====

Entry 15:
VASP calculation (meta-GGA SCAN) on a PBEsol-optimized structure of Ta2CdAu.

Unit cell a=4.048 b=4.048 c=5.179 alpha=113.00 beta=113.00 gamma=90.00
Element x y z (fractional)
Cd: 0.250 0.750 0.500
Au: 0.500 0.500 0.000
Ta: 0.000 0.000 0.000
Ta: 0.750 0.250 0.500

N(E_F) = 5.82 states/eV/cell
Formation energy = 82 kJ/mol of formula units
Magnetization = 0.01 μB per cell
Crystal system = tetragonal

=====

Entry 16:
VASP calculation (meta-GGA SCAN) on a PBEsol-optimized structure of TaCd2Au.

Unit cell a=2.854 b=4.685 c=5.521 alpha=90.00 beta=97.54 gamma=90.00
Element x y z (fractional)
Cd: 0.848 0.000 0.751
Cd: 0.152 0.000 0.249
Au: 0.000 0.500 0.500
Ta: 0.500 0.500 0.000

Offset from the most stable computed form = 0.1168 eV per atom
N(E_F) = 2.32 states/eV/cell
Formation energy = 70 kJ/mol of formula units
Magnetization = 0.00 μB per cell
Crystal system = monoclinic

=====

Entry 17:
VASP calculation (meta-GGA SCAN) on a PBEsol-optimized structure of Ta2CdAu.

Unit cell a=2.887 b=2.887 c=9.989 alpha=81.69 beta=81.69 gamma=60.00
Element x y z (fractional)
Cd: 0.000 0.000 0.000
Au: 0.500 0.500 0.500
Ta: 0.247 0.247 0.259
Ta: 0.753 0.753 0.741

N(E_F) = 3.19 states/eV/cell
Formation energy = 65 kJ/mol of formula units
Magnetization = 0.00 μB per cell
Crystal system = trigonal

=====

Entry 18:
VASP calculation (meta-GGA SCAN) on a PBEsol-optimized structure of Ta2CdAu.

Unit cell a=4.668 b=4.668 c=4.668 alpha=60.00 beta=60.00 gamma=60.00
Element x y z (fractional)
Cd: 0.750 0.750 0.750
Au: 0.500 0.500 0.500
Ta: 0.000 0.000 0.000
Ta: 0.250 0.250 0.250

N(E_F) = 5.07 states/eV/cell
Formation energy = 140 kJ/mol of formula units
Magnetization = 0.00 μB per cell
Crystal system = cubic

=====

Entry 19:
VASP calculation (meta-GGA SCAN) on a PBEsol-optimized structure of TaCd2Au.

Unit cell a=4.689 b=4.689 c=4.689 alpha=60.00 beta=60.00 gamma=60.00
Element x y z (fractional)
Cd: 0.250 0.250 0.250
Cd: 0.750 0.750 0.750
Au: 0.000 0.000 0.000
Ta: 0.500 0.500 0.500

Offset from the most stable computed form = 0.3979 eV per atom
N(E_F) = 2.26 states/eV/cell
Formation energy = 179 kJ/mol of formula units
Magnetization = 0.00 μB per cell
Crystal system = cubic

=====

Entry 20:
VASP calculation (meta-GGA SCAN) on a PBEsol-optimized structure of CdTc3Au.

Unit cell a=4.722 b=4.722 c=4.722 alpha=90.00 beta=90.00 gamma=90.00
Site moments in Bohr magnetons follow the coordinates.
Element x y z (fractional)
Au: 0.500 0.500 0.500  0.10
Tc: 0.000 0.500 0.000  2.89
Tc: 0.000 0.000 0.500  2.89
Tc: 0.500 0.000 0.000  2.89
Cd: 0.000 0.000 0.000  0.03

N(E_F) = 4.97 states/eV/cell
Formation energy = 1271 kJ/mol of formula units
Magnetization = 8.99 μB per cell
Crystal system = cubic

=====

Number 1: E_tot -34.69 eV per atom. Number 2: E_tot -34.92 eV per atom. Number 3: E_tot -54.10 eV per atom. Number 4: E_tot -52.46 eV per atom. Number 5: E_tot -47.15 eV per atom. Number 6: E_tot -36.49 eV per atom. Number 7: E_tot -36.63 eV per atom. Number 8: E_tot -51.49 eV per atom. Number 9: E_tot -47.87 eV per atom. Number 10: E_tot -52.28 eV per atom. Number 11: E_tot -49.07 eV per atom. Number 12: E_tot -49.08 eV per atom. Number 13: E_tot -58.25 eV per atom. Number 14: E_tot -58.13 eV per atom. Number 15: E_tot -57.97 eV per atom. Number 16: E_tot -48.96 eV per atom. Number 17: E_tot -58.02 eV per atom. Number 18: E_tot -57.82 eV per atom. Number 19: E_tot -48.68 eV per atom. Number 20: E_tot -38.32 eV per atom.